This record from Alexandria describes an optimized crystal structure of NbFeReMo. The functional is PBE.

a b c (Å): 4.421 4.421 4.421
angles (deg): 60.00 60.00 60.00
Each line ends with the local moment (μB).
Atoms (fractional coordinates):
Re1 0.250 0.250 0.250  0.02
Mo1 0.500 0.500 0.500  0.04
Nb1 0.000 0.000 0.000  -0.21
Fe1 0.750 0.750 0.750  2.04

Energy of formation from the pure elements = -1.0 kJ per mole of atoms

This record from Alexandria describes an optimized crystal structure of CaScRe2. The functional is PBE.

a b c (Å): 7.771 7.771 6.102
angles (deg): 50.45 50.45 90.00
Atoms (fractional coordinates):
Sc1 0.000 0.000 0.000
Sc2 0.750 0.250 0.500
Re1 0.647 0.125 0.250
Re2 0.103 0.625 0.250
Re3 0.375 0.353 0.750
Re4 0.875 0.897 0.750
Ca1 0.500 0.500 0.000
Ca2 0.250 0.750 0.500

ΔE to the lowest computed polymorph = 963 meV per atom
Energy of formation from the pure elements = 105.0 kJ per mole of atoms

This record from Alexandria describes an optimized crystal structure of YNi5Ir. The functional is PBE.

a b c (Å): 4.866 7.896 9.913
angles (deg): 90.00 90.00 90.00
Each line ends with the local moment (μB).
Atoms (fractional coordinates):
Y1 0.250 0.244 0.940  -0.07
Y2 0.750 0.256 0.440  -0.07
Y3 0.250 0.744 0.560  -0.07
Y4 0.750 0.756 0.060  -0.07
Ni1 0.250 0.599 0.020  0.28
Ni2 0.750 0.901 0.520  0.28
Ni3 0.250 0.099 0.480  0.28
Ni4 0.750 0.401 0.980  0.28
Ni5 0.750 0.319 0.742  0.52
Ni6 0.250 0.181 0.242  0.52
Ni7 0.750 0.819 0.758  0.52
Ni8 0.250 0.681 0.258  0.52
Ni9 0.250 0.939 0.093  0.41
Ni10 0.750 0.561 0.593  0.41
Ni11 0.250 0.439 0.407  0.41
Ni12 0.750 0.061 0.907  0.41
Ni13 0.994 0.433 0.192  0.47
Ni14 0.006 0.067 0.692  0.47
Ni15 0.506 0.933 0.308  0.47
Ni16 0.494 0.567 0.808  0.47
Ni17 0.006 0.567 0.808  0.47
Ni18 0.994 0.933 0.308  0.47
Ni19 0.494 0.067 0.692  0.47
Ni20 0.506 0.433 0.192  0.47
Ir1 0.250 0.852 0.852  0.49
Ir2 0.750 0.648 0.352  0.49
Ir3 0.250 0.352 0.648  0.49
Ir4 0.750 0.148 0.148  0.49

Energy of formation from the pure elements = -24.2 kJ per mole of atoms

This record from Alexandria describes an optimized crystal structure of MgScHRh2. The functional is PBE.

a b c (Å): 4.161 4.161 3.856
angles (deg): 90.00 90.00 90.00
Atoms (fractional coordinates):
Sc1 0.000 0.000 0.500
H1 0.000 0.000 0.000
Mg1 0.500 0.500 0.500
Rh1 0.000 0.500 0.000
Rh2 0.500 0.000 0.000

ΔE to the lowest computed polymorph = 0 meV per atom

This record from Alexandria describes an optimized crystal structure of SrMgHg4. The functional is PBE.

a b c (Å): 6.131 6.131 6.131
angles (deg): 60.00 60.00 60.00
Atoms (fractional coordinates):
Sr1 0.000 0.000 0.000
Mg1 0.750 0.750 0.750
Hg1 0.375 0.874 0.375
Hg2 0.874 0.375 0.375
Hg3 0.375 0.375 0.874
Hg4 0.375 0.375 0.375

ΔE to the lowest computed polymorph = 115 meV per atom
Energy of formation from the pure elements = -16.7 kJ per mole of atoms

This record from Alexandria describes an optimized crystal structure of Ag2P3. The functional is PBE.

a b c (Å): 3.298 3.298 9.496
angles (deg): 90.00 90.00 120.00
Atoms (fractional coordinates):
Ag1 0.667 0.333 0.191
Ag2 0.333 0.667 0.809
P1 0.000 0.000 0.000
P2 0.667 0.333 0.568
P3 0.333 0.667 0.432

Energy of formation from the pure elements = 33.4 kJ per mole of atoms

This record from Alexandria describes an optimized crystal structure of ZnAg2HAu. The functional is PBE.

a b c (Å): 4.314 4.314 3.914
angles (deg): 90.00 90.00 90.00
Atoms (fractional coordinates):
H1 0.000 0.000 0.000
Zn1 0.500 0.500 0.500
Au1 0.000 0.000 0.500
Ag1 0.000 0.500 0.000
Ag2 0.500 0.000 0.000

ΔE to the lowest computed polymorph = 30 meV per atom

This record from Alexandria describes an optimized crystal structure of CsFeP. The functional is PBE.

a b c (Å): 4.378 7.457 6.937
angles (deg): 76.93 78.97 114.20
Each line ends with the local moment (μB).
Atoms (fractional coordinates):
Cs1 0.657 0.557 0.309  0.00
Cs2 0.786 0.921 0.675  0.00
P1 0.937 0.455 0.775  -0.06
P2 0.506 0.023 0.209  -0.06
Fe1 0.015 0.272 0.025  0.68
Fe2 0.429 0.205 0.959  0.68

Energy of formation from the pure elements = 2.9 kJ per mole of atoms

no.,VASP energy (eV per atom)
1,-10.46
2,-7.22
3,-6.57
4,-5.77
5,-0.92
6,-4.04
7,-2.57
8,-4.88